## A
A plane-wave DFT calculation with PBE was carried out for In3SiSe after structural relaxation.

The structure in CIF format:
```
data_In3SiSe
_cell_length_a 5.244
_cell_length_b 5.244
_cell_length_c 5.244
_cell_angle_alpha 90.00
_cell_angle_beta 90.00
_cell_angle_gamma 90.00
_space_group_name_H-M_alt 'P m -3 m'
_space_group_IT_number 221
_space_group_name_Hall '-P 4 2 3'
loop_
_atom_site_label
_atom_site_type_symbol
_atom_site_fract_x
_atom_site_fract_y
_atom_site_fract_z
In1 In 0.000 0.000 0.500
Si1 Si 0.000 0.000 0.000
Se1 Se 0.500 0.500 0.500
```

Spin magnetization ... 0.000 μB/f.u.



## B
A plane-wave DFT calculation with PBE was carried out for In3SiSe after structural relaxation.

The structure in CIF format:
```
data_In3SiSe
_cell_length_a 5.433
_cell_length_b 5.433
_cell_length_c 5.433
_cell_angle_alpha 90.00
_cell_angle_beta 90.00
_cell_angle_gamma 90.00
_space_group_name_H-M_alt 'P m -3 m'
_space_group_IT_number 221
_space_group_name_Hall '-P 4 2 3'
loop_
_atom_site_label
_atom_site_type_symbol
_atom_site_fract_x
_atom_site_fract_y
_atom_site_fract_z
In1 In 0.000 0.000 0.500
Si1 Si 0.500 0.500 0.500
Se1 Se 0.000 0.000 0.000
```

Spin magnetization ... 0.000 μB/f.u.



The structure with the least stability is B.



## A
A plane-wave DFT calculation with PBE was carried out for SmInSe3 after structural relaxation.

The structure in CIF format:
```
data_SmInSe3
_cell_length_a 7.382
_cell_length_b 4.240
_cell_length_c 10.538
_cell_angle_alpha 90.00
_cell_angle_beta 99.68
_cell_angle_gamma 90.00
_space_group_name_H-M_alt 'P 1 21/m 1'
_space_group_IT_number 11
loop_
_space_group_symop_operation_xyz
'x,y,z'
'-x,-y,-z'
'-x,y+1/2,-z'
'x,-y+1/2,z'
loop_
_atom_site_label
_atom_site_type_symbol
_atom_site_fract_x
_atom_site_fract_y
_atom_site_fract_z
Sm1 Sm 0.212 0.250 0.430
In1 In 0.401 0.250 0.859
Se1 Se 0.044 0.250 0.657
Se2 Se 0.271 0.750 0.964
Se3 Se 0.467 0.750 0.356
```

Spin magnetization ... 0.000 μB/f.u.



## B
A plane-wave DFT calculation with PBE was carried out for SmInSe3 after structural relaxation.

The structure in CIF format:
```
data_SmInSe3
_cell_length_a 7.301
_cell_length_b 7.460
_cell_length_c 11.734
_cell_angle_alpha 90.00
_cell_angle_beta 117.93
_cell_angle_gamma 90.00
_space_group_name_H-M_alt 'P 1 21/c 1'
_space_group_IT_number 14
loop_
_space_group_symop_operation_xyz
'x,y,z'
'-x,-y,-z'
'-x,y+1/2,-z+1/2'
'x,-y+1/2,z+1/2'
loop_
_atom_site_label
_atom_site_type_symbol
_atom_site_fract_x
_atom_site_fract_y
_atom_site_fract_z
Sm1 Sm 0.146 0.133 0.213
In1 In 0.264 0.650 0.120
Se1 Se 0.089 0.196 0.935
Se2 Se 0.237 0.666 0.892
Se3 Se 0.461 0.066 0.813
```

Spin magnetization ... 0.000 μB/f.u.



The structure with the least stability is B.



## A
A plane-wave DFT calculation with PBE was carried out for Sm2InSe after structural relaxation.

The structure in CIF format:
```
data_Sm2InSe
_cell_length_a 4.395
_cell_length_b 23.578
_cell_length_c 4.298
_cell_angle_alpha 90.00
_cell_angle_beta 90.00
_cell_angle_gamma 90.00
_space_group_name_H-M_alt 'C m c m'
_space_group_IT_number 63
_space_group_name_Hall '-C 2c 2'
loop_
_atom_site_label
_atom_site_type_symbol
_atom_site_fract_x
_atom_site_fract_y
_atom_site_fract_z
Sm1 Sm 0.000 0.070 0.250
Sm2 Sm 0.000 0.316 0.250
In1 In 0.000 0.456 0.250
Se1 Se 0.000 0.193 0.250
```

Spin magnetization ... 0.000 μB/f.u.



## B
A plane-wave DFT calculation with PBE was carried out for Sm2InSe after structural relaxation.

The structure in CIF format:
```
data_Sm2InSe
_cell_length_a 3.566
_cell_length_b 3.566
_cell_length_c 8.200
_cell_angle_alpha 90.00
_cell_angle_beta 90.00
_cell_angle_gamma 90.00
_space_group_name_H-M_alt 'P 4/m m m'
_space_group_IT_number 123
_space_group_name_Hall '-P 4 2'
loop_
_atom_site_label
_atom_site_type_symbol
_atom_site_fract_x
_atom_site_fract_y
_atom_site_fract_z
Sm1 Sm 0.000 0.000 0.228
In1 In 0.500 0.500 0.500
Se1 Se 0.500 0.500 0.000
```

Spin magnetization ... 0.000 μB/f.u.



The structure with the least stability is B.



## A
A plane-wave DFT calculation with PBE was carried out for In2SnSe after structural relaxation.

The structure in CIF format:
```
data_In2SnSe
_cell_length_a 7.479
_cell_length_b 7.479
_cell_length_c 7.479
_cell_angle_alpha 90.00
_cell_angle_beta 90.00
_cell_angle_gamma 90.00
_space_group_name_H-M_alt 'F m -3 m'
_space_group_IT_number 225
_space_group_name_Hall '-F 4 2 3'
loop_
_atom_site_label
_atom_site_type_symbol
_atom_site_fract_x
_atom_site_fract_y
_atom_site_fract_z
In1 In 0.250 0.250 0.250
Sn1 Sn 0.000 0.000 0.000
Se1 Se 0.000 0.000 0.500
```

Spin magnetization ... 0.000 μB/f.u.



## B
A plane-wave DFT calculation with PBE was carried out for In2SnSe after structural relaxation.

The structure in CIF format:
```
data_In2SnSe
_cell_length_a 3.678
_cell_length_b 3.678
_cell_length_c 7.689
_cell_angle_alpha 90.00
_cell_angle_beta 90.00
_cell_angle_gamma 90.00
_space_group_name_H-M_alt 'P 4/m m m'
_space_group_IT_number 123
_space_group_name_Hall '-P 4 2'
loop_
_atom_site_label
_atom_site_type_symbol
_atom_site_fract_x
_atom_site_fract_y
_atom_site_fract_z
In1 In 0.000 0.000 0.224
Sn1 Sn 0.500 0.500 0.500
Se1 Se 0.500 0.500 0.000
```

Spin magnetization ... 0.000 μB/f.u.



The structure with the least stability is A.



## A
A plane-wave DFT calculation with PBE was carried out for In2SnSe after structural relaxation.

The structure in CIF format:
```
data_In2SnSe
_cell_length_a 6.463
_cell_length_b 6.463
_cell_length_c 13.153
_cell_angle_alpha 90.00
_cell_angle_beta 90.00
_cell_angle_gamma 90.00
_space_group_name_H-M_alt 'I -4 2 d'
_space_group_IT_number 122
_space_group_name_Hall 'I -4 2bw'
loop_
_atom_site_label
_atom_site_type_symbol
_atom_site_fract_x
_atom_site_fract_y
_atom_site_fract_z
In1 In 0.247 0.250 0.125
Sn1 Sn 0.000 0.000 0.500
Se1 Se 0.000 0.000 0.000
```

Spin magnetization ... 0.000 μB/f.u.



## B
A plane-wave DFT calculation with PBE was carried out for In2SnSe after structural relaxation.

The structure in CIF format:
```
data_In2SnSe
_cell_length_a 3.7355
_cell_length_b 3.7355
_cell_length_c 29.7652
_cell_angle_alpha 90.00
_cell_angle_beta 90.00
_cell_angle_gamma 120.00
_space_group_name_H-M_alt 'R -3 m'
_space_group_IT_number 166
_space_group_name_Hall '-R 3 2"'
loop_
_atom_site_label
_atom_site_type_symbol
_atom_site_fract_x
_atom_site_fract_y
_atom_site_fract_z
In1 In 0.0000 0.0000 0.1021
Sn1 Sn 0.0000 0.0000 0.0000
Se1 Se 0.0000 0.0000 0.5000
```

Spin magnetization ... 0.000 μB/f.u.



The structure with the least stability is B.



## A
A plane-wave DFT calculation with PBE was carried out for InSnSe after structural relaxation.

The structure in CIF format:
```
data_InSnSe
_cell_length_a 6.017
_cell_length_b 18.418
_cell_length_c 6.146
_cell_angle_alpha 90.00
_cell_angle_beta 90.00
_cell_angle_gamma 90.00
_space_group_name_H-M_alt 'F m m 2'
_space_group_IT_number 42
_space_group_name_Hall 'F 2 -2'
loop_
_atom_site_label
_atom_site_type_symbol
_atom_site_fract_x
_atom_site_fract_y
_atom_site_fract_z
In1 In 0.000 0.082 0.000
Sn1 Sn 0.000 0.246 0.629
Se1 Se 0.000 0.103 0.523
```

Spin magnetization ... 0.000 μB/f.u.



## B
A plane-wave DFT calculation with PBE was carried out for InSnSe after structural relaxation.

The structure in CIF format:
```
data_InSnSe
_cell_length_a 4.278
_cell_length_b 17.709
_cell_length_c 4.284
_cell_angle_alpha 90.00
_cell_angle_beta 90.00
_cell_angle_gamma 90.00
_space_group_name_H-M_alt 'I m m 2'
_space_group_IT_number 44
loop_
_space_group_symop_operation_xyz
'x,y,z'
'-x,-y,z'
'-x,y,z'
'x,-y,z'
'x+1/2,y+1/2,z+1/2'
'-x+1/2,-y+1/2,z+1/2'
'-x+1/2,y+1/2,z+1/2'
'x+1/2,-y+1/2,z+1/2'
loop_
_atom_site_label
_atom_site_type_symbol
_atom_site_fract_x
_atom_site_fract_y
_atom_site_fract_z
In1 In 0.000 0.169 0.000
Sn1 Sn 0.000 0.000 0.007
Sn2 Sn 0.000 0.500 0.007
Se1 Se 0.000 0.329 0.004
```

Spin magnetization ... 0.000 μB/f.u.



## C
A plane-wave DFT calculation with PBE was carried out for InSnSe after structural relaxation.

The structure in CIF format:
```
data_InSnSe
_cell_length_a 13.407
_cell_length_b 4.057
_cell_length_c 6.166
_cell_angle_alpha 90.00
_cell_angle_beta 90.14
_cell_angle_gamma 90.00
_space_group_name_H-M_alt 'C 1 m 1'
_space_group_IT_number 8
loop_
_space_group_symop_operation_xyz
'x,y,z'
'x,-y,z'
'x+1/2,y+1/2,z'
'x+1/2,-y+1/2,z'
loop_
_atom_site_label
_atom_site_type_symbol
_atom_site_fract_x
_atom_site_fract_y
_atom_site_fract_z
In1 In 0.000 0.000 0.000
In2 In 0.182 0.500 0.011
Sn1 Sn 0.028 0.000 0.499
Sn2 Sn 0.344 0.000 0.534
Se1 Se 0.189 0.500 0.502
Se2 Se 0.340 0.000 0.994
```

Spin magnetization ... 0.000 μB/f.u.



## D
A plane-wave DFT calculation with PBE was carried out for InSnSe after structural relaxation.

The structure in CIF format:
```
data_InSnSe
_cell_length_a 3.865
_cell_length_b 3.915
_cell_length_c 6.510
_cell_angle_alpha 74.19
_cell_angle_beta 74.85
_cell_angle_gamma 63.25
_space_group_name_H-M_alt 'P 1'
_space_group_IT_number 1
loop_
_space_group_symop_operation_xyz
'x,y,z'
loop_
_atom_site_label
_atom_site_type_symbol
_atom_site_fract_x
_atom_site_fract_y
_atom_site_fract_z
In1 In 0.000 0.000 0.000
Sn1 Sn 0.507 0.506 0.391
Se1 Se 0.759 0.754 0.693
```

Spin magnetization ... 0.000 μB/f.u.



The structure with the least stability is D.